Below is crystalline PmAl4Cu at its relaxed geometry, with properties calculated at the PBE-GGA level.

Output
Formation enthalpy at 0 K = -0.380 eV/atom
Total DFT energy (no corrections) = -4.350 eV per atom
Crystal system = orthorhombic

Lattice parameters (Å, degrees): 8.1066 8.1066 6.7851 90.00 90.00 150.52
Closest atoms and distances in Å follow each position.
Fractional coordinates of all 12 atoms:
Pm (0.1130, 0.8870, 0.7500)  9 Al 2.98-3.20, 2 Cu 3.21
Pm (0.8870, 0.1130, 0.2500)  9 Al 2.98-3.20, 2 Cu 3.21
Al (0.0770, 0.9230, 0.2500)  1 Cu 2.40
Al (0.3152, 0.6848, 0.5553)  3 Cu 2.46-2.55, 1 Al 2.64
Al (0.3152, 0.6848, 0.9447)  3 Cu 2.46-2.55, 1 Al 2.64
Al (0.5000, 0.5000, 0.0000)  6 Al 2.92-2.93, 4 Pm 3.20
Al (0.5000, 0.5000, 0.5000)  6 Al 2.92-2.93, 4 Pm 3.20
Al (0.6848, 0.3152, 0.0553)  3 Cu 2.46-2.55, 1 Al 2.64
Al (0.6848, 0.3152, 0.4447)  3 Cu 2.46-2.55, 1 Al 2.64
Al (0.9230, 0.0770, 0.7500)  1 Cu 2.40
Cu (0.2302, 0.7698, 0.2500)  7 Al 2.40-2.55
Cu (0.7698, 0.2302, 0.7500)  7 Al 2.40-2.55